No. 1
! NaCa3Pt | Alexandria | PBE-GGA | relaxed; values from VASP
! Formation energy ... -0.36 eV/atom
&SYSTEM
  ibrav = 0, nat = 10, ntyp = 3
/
ATOMIC_SPECIES
Na 22.99 Na.upf
Ca 40.08 Ca.upf
Pt 195.08 Pt.upf
ATOMIC_POSITIONS angstrom
Na 0.000 3.185 2.890
Na 2.758 1.592 8.671
Ca 0.000 0.000 2.890
Ca 0.000 0.000 8.671
Ca 0.000 3.185 6.513
Ca 0.000 3.185 10.830
Ca 2.758 1.592 0.732
Ca 2.758 1.592 5.049
Pt 0.000 0.000 0.000
Pt 0.000 0.000 5.781
CELL_PARAMETERS angstrom
5.516 0.000 0.000
-2.758 4.777 0.000
0.000 0.000 11.562

=====

No. 2
! Y2TlSnS | Alexandria | PBE-GGA | relaxed; values from VASP
! Formation energy (no corrections) ... 0.265 eV/atom
&SYSTEM
  ibrav = 0, nat = 5, ntyp = 4
/
ATOMIC_SPECIES
Y 88.91 Y.upf
Tl 204.38 Tl.upf
Sn 118.71 Sn.upf
S 32.06 S.upf
ATOMIC_POSITIONS angstrom
Y 0.000 2.887 0.000
Y 2.887 0.000 0.000
Tl 0.000 0.000 2.715
Sn 0.000 0.000 0.000
S 2.887 2.887 2.715
CELL_PARAMETERS angstrom
5.775 0.000 0.000
0.000 5.775 0.000
0.000 0.000 5.430

=====

No. 3
! SrCaCuP2O8 | Alexandria | PBE-GGA | relaxed; values from VASP
! Formation energy (no corrections) ... -2.408 eV/atom
&SYSTEM
  ibrav = 0, nat = 26, ntyp = 5
/
ATOMIC_SPECIES
Sr 87.62 Sr.upf
Ca 40.08 Ca.upf
Cu 63.55 Cu.upf
P 30.97 P.upf
O 16.00 O.upf
ATOMIC_POSITIONS angstrom
Sr 0.122 -0.098 3.576
Sr 2.615 3.643 4.804
Ca 0.472 1.236 6.971
Ca 2.265 2.310 1.409
Cu -0.053 5.584 0.333
Cu 2.791 -2.039 8.048
P -0.479 3.095 2.263
P 0.310 -2.357 6.654
P 2.427 5.902 1.727
P 3.217 0.450 6.117
O -1.356 0.922 5.578
O -0.073 2.382 0.917
O -0.516 4.631 2.013
O -1.907 3.528 7.147
O -0.981 4.764 5.185
O 0.703 2.696 3.208
O 2.117 -0.049 1.566
O 0.466 -1.090 7.537
O 2.271 4.635 0.843
O 0.620 3.594 6.814
O 2.035 0.849 5.172
O 3.718 -1.219 3.195
O 4.644 0.017 1.233
O 3.254 -1.085 6.367
O 2.811 1.163 7.463
O 4.093 2.624 2.802
CELL_PARAMETERS angstrom
5.937 0.000 0.000
-1.035 6.788 0.000
-2.165 -3.243 8.380

=====

No. 4
! CsDySiSe4 | Alexandria | PBE-GGA | relaxed; values from VASP
! Formation energy (no corrections) ... -1.246 eV/atom
&SYSTEM
  ibrav = 0, nat = 14, ntyp = 4
/
ATOMIC_SPECIES
Cs 132.91 Cs.upf
Dy 162.50 Dy.upf
Si 28.09 Si.upf
Se 78.96 Se.upf
ATOMIC_POSITIONS angstrom
Cs 0.247 1.767 4.100
Cs 3.289 5.301 5.227
Dy -1.165 1.767 8.892
Dy 4.700 5.301 0.435
Si 1.374 5.301 1.494
Si 2.161 1.767 7.833
Se -2.452 5.301 8.659
Se -0.409 5.301 2.897
Se 0.740 3.552 7.494
Se 0.740 7.050 7.494
Se 2.795 0.018 1.832
Se 2.795 3.516 1.832
Se 3.944 1.767 6.430
Se 5.987 1.767 0.667
CELL_PARAMETERS angstrom
6.673 0.000 0.000
0.000 7.068 0.000
-3.138 0.000 9.327

=====

No. 5
! Hf6GaPd12 | Alexandria | PBE-GGA | relaxed; values from VASP
! Formation energy ... -0.64 eV/atom
&SYSTEM
  ibrav = 0, nat = 19, ntyp = 3
/
ATOMIC_SPECIES
Hf 178.49 Hf.upf
Ga 69.72 Ga.upf
Pd 106.42 Pd.upf
ATOMIC_POSITIONS angstrom
Hf -0.848 -2.775 4.843
Hf -2.827 -0.653 6.343
Hf -1.979 2.122 4.843
Hf 1.979 -2.122 6.343
Hf 2.827 0.653 4.843
Hf 0.848 2.775 6.343
Ga 0.000 0.000 5.593
Pd -3.438 -3.435 6.311
Pd -4.694 1.260 4.875
Pd -1.649 -0.418 3.667
Pd 1.256 -4.695 4.875
Pd 1.187 -1.219 3.667
Pd 0.462 1.637 3.667
Pd -0.462 -1.637 7.520
Pd -1.187 1.219 7.520
Pd -1.256 4.695 6.311
Pd 1.649 0.418 7.520
Pd 4.694 -1.260 6.311
Pd 3.438 3.435 4.875
CELL_PARAMETERS angstrom
5.069 2.927 3.729
-5.069 2.927 3.729
0.000 -5.853 3.729

=====

No. 6
! BaPb3C | Alexandria | PBE-GGA | relaxed; values from VASP
! Formation energy ... 2.19 eV/atom
&SYSTEM
  ibrav = 0, nat = 5, ntyp = 3
/
ATOMIC_SPECIES
Ba 137.33 Ba.upf
Pb 207.20 Pb.upf
C 12.01 C.upf
ATOMIC_POSITIONS angstrom
Ba 0.000 0.000 0.000
Pb 0.000 0.000 3.236
Pb 0.000 3.236 0.000
Pb 3.236 0.000 0.000
C 3.236 3.236 3.236
CELL_PARAMETERS angstrom
6.472 0.000 0.000
0.000 6.472 0.000
0.000 0.000 6.472

=====

No. 7
! NdAl3ZnAu | Alexandria | PBE-GGA | relaxed; values from VASP
! Formation energy ... -0.22 eV/atom
&SYSTEM
  ibrav = 0, nat = 12, ntyp = 4
/
ATOMIC_SPECIES
Nd 144.24 Nd.upf
Al 26.98 Al.upf
Zn 65.41 Zn.upf
Au 196.97 Au.upf
ATOMIC_POSITIONS angstrom
Nd 3.241 3.681 4.503
Nd 3.241 -3.681 1.501
Al 1.329 0.000 0.000
Al 1.329 0.000 3.002
Al 3.241 1.758 1.501
Al 3.241 -1.758 4.503
Al 5.152 0.000 0.000
Al 5.152 0.000 3.002
Zn 3.241 0.890 4.503
Zn 3.241 -0.890 1.501
Au 3.241 4.405 1.501
Au 3.241 -4.405 4.503
CELL_PARAMETERS angstrom
3.241 -6.275 0.000
3.241 6.275 0.000
0.000 0.000 6.004

=====

No. 8
! CsCd3Rh | Alexandria | PBE-GGA | relaxed; values from VASP
! Formation energy ... 0.19 eV/atom
&SYSTEM
  ibrav = 0, nat = 5, ntyp = 3
/
ATOMIC_SPECIES
Cs 132.91 Cs.upf
Cd 112.41 Cd.upf
Rh 102.91 Rh.upf
ATOMIC_POSITIONS angstrom
Cs 0.000 0.000 0.000
Cd 0.000 0.000 4.683
Cd 1.645 -1.518 9.102
Cd 1.645 1.518 9.102
Rh 1.645 0.000 6.893
CELL_PARAMETERS angstrom
3.291 0.000 0.000
0.000 3.401 6.221
0.000 -3.401 6.221

=====

No. 9
! NpTc2Au | Alexandria | PBE-GGA | relaxed; values from VASP
! Formation energy ... 0.06 eV/atom
&SYSTEM
  ibrav = 0, nat = 4, ntyp = 3
/
ATOMIC_SPECIES
Np 237.00 Np.upf
Tc 98.00 Tc.upf
Au 196.97 Au.upf
ATOMIC_POSITIONS angstrom
Np 0.000 0.000 0.000
Tc 0.000 2.148 1.834
Tc 2.148 0.000 1.834
Au 2.148 2.148 0.000
CELL_PARAMETERS angstrom
4.297 0.000 0.000
0.000 4.297 0.000
0.000 0.000 3.667

=====

No. 10
! RbBa3Pb | Alexandria | PBE-GGA | relaxed; values from VASP
! Formation energy ... 0.67 eV/atom
&SYSTEM
  ibrav = 0, nat = 5, ntyp = 3
/
ATOMIC_SPECIES
Rb 85.47 Rb.upf
Ba 137.33 Ba.upf
Pb 207.20 Pb.upf
ATOMIC_POSITIONS angstrom
Rb 0.000 0.000 0.000
Ba 0.000 0.000 3.258
Ba 0.000 3.258 0.000
Ba 3.258 0.000 0.000
Pb 3.258 3.258 3.258
CELL_PARAMETERS angstrom
6.516 0.000 0.000
0.000 6.516 0.000
0.000 0.000 6.516

=====

No. 11
! KHg2I2 | Alexandria | PBE-GGA | relaxed; values from VASP
! Formation energy (no corrections) ... -0.550 eV/atom
&SYSTEM
  ibrav = 0, nat = 5, ntyp = 3
/
ATOMIC_SPECIES
K 39.10 K.upf
Hg 200.59 Hg.upf
I 126.90 I.upf
ATOMIC_POSITIONS angstrom
K 0.000 0.000 0.000
Hg 0.000 0.000 3.628
Hg 0.000 0.000 6.442
I 3.146 0.000 2.517
I 0.000 3.146 2.517
CELL_PARAMETERS angstrom
-3.146 3.146 5.035
3.146 -3.146 5.035
3.146 3.146 -5.035

=====

No. 12
! La5Pm4Y4 | Alexandria | PBE-GGA | relaxed; values from VASP
! Formation energy ... 0.02 eV/atom
&SYSTEM
  ibrav = 0, nat = 13, ntyp = 3
/
ATOMIC_SPECIES
La 138.91 La.upf
Pm 145.00 Pm.upf
Y 88.91 Y.upf
ATOMIC_POSITIONS angstrom
La 0.000 0.000 0.000
La 6.098 4.073 0.000
La 2.545 -0.520 2.586
La 4.073 7.138 0.000
La 0.520 2.545 2.586
Pm 8.132 1.006 0.000
Pm 1.006 5.104 0.000
Pm 5.612 1.514 2.586
Pm -1.514 5.612 2.586
Y 3.089 2.047 0.000
Y 4.571 -3.529 2.586
Y 2.047 10.147 0.000
Y 3.529 4.571 2.586
CELL_PARAMETERS angstrom
-6.618 6.618 2.586
6.618 -6.618 2.586
6.618 6.618 -2.586